VASP calculation (PBE) on crystalline TbTcH5 at its relaxed geometry.

Cell: 3.751 4.793 4.793 Å, 67.70 66.96 66.96°
Fractional coordinates of all 7 atoms:
Tb (0.933, 0.000, 0.000)
Tc (0.461, 0.500, 0.500)
H (0.438, 0.819, 0.181)
H (0.871, 0.286, 0.286)
H (0.948, 0.500, 0.500)
H (0.438, 0.181, 0.819)
H (0.442, 0.714, 0.714)

Total energy in eV/atom: -4.64
Total moment in Bohr magnetons per cell: 0.00
SG: No. 44

VASP calculation (PBE) on crystalline Tb2TcH at its relaxed geometry.

Cell: 3.330 3.330 6.975 Å, 90.00 90.00 90.00°
Fractional coordinates of all 4 atoms:
Tb (0.000, 0.000, 0.242)
H (0.500, 0.500, 0.500)
Tb (0.000, 0.000, 0.758)
Tc (0.500, 0.500, 0.000)

Total energy in eV/atom: -5.75
Total moment in Bohr magnetons per cell: 0.00
SG: No. 123

VASP calculation (PBE) on crystalline TbTcH3 at its relaxed geometry.

Cell: 3.662 3.662 3.662 Å, 90.00 90.00 90.00°
Fractional coordinates of all 5 atoms:
H (0.000, 0.500, 0.000)
Tb (0.500, 0.500, 0.500)
H (0.500, 0.000, 0.000)
Tc (0.000, 0.000, 0.000)
H (0.000, 0.000, 0.500)

Total energy in eV/atom: -5.39
Total moment in Bohr magnetons per cell: 0.00
SG: No. 221

VASP calculation (PBE) on crystalline Tb2TeH4 at its relaxed geometry.

Cell: 3.850 3.850 7.876 Å, 75.85 75.85 60.00°
Fractional coordinates of all 7 atoms:
Tb (0.763, 0.763, 0.710)
H (0.436, 0.436, 0.693)
Tb (0.237, 0.237, 0.290)
H (0.138, 0.138, 0.587)
Te (0.000, 0.000, 0.000)
H (0.564, 0.564, 0.307)
H (0.862, 0.862, 0.413)

Total energy in eV/atom: -4.53
Total moment in Bohr magnetons per cell: 0.00
SG: No. 166

VASP calculation (PBE) on crystalline TbTeH at its relaxed geometry.

Cell: 4.071 4.071 7.161 Å, 90.00 89.99 89.99°
Fractional coordinates of all 6 atoms:
H (0.523, 0.838, 0.023)
Te (0.023, 0.838, 0.685)
Tb (0.523, 0.338, 0.856)
Tb (0.023, 0.838, 0.191)
Te (0.523, 0.338, 0.362)
H (0.023, 0.338, 0.023)

Total energy in eV/atom: -4.78
Total moment in Bohr magnetons per cell: 0.00
SG: No. 129

VASP calculation (PBE) on crystalline TbTeH at its relaxed geometry.

Cell: 3.444 3.444 5.827 Å, 107.19 107.19 90.00°
Fractional coordinates of all 3 atoms:
Te (0.010, 0.010, 0.019)
Tb (0.713, 0.713, 0.426)
H (0.277, 0.277, 0.554)

Total energy in eV/atom: -4.23
Total moment in Bohr magnetons per cell: 0.00
SG: No. 107